Entry 1:
A PBEsol-optimized structure of InReMo. Source: the Alexandria database, functional meta-GGA SCAN.

## Properties
D(E_F) in states/eV per cell: 1.67
Final energy in eV/atom: -46.08
Magnetization in μB per formula unit: 0.0

Unit cell a=2.813 b=2.813 c=7.126 alpha=96.66 beta=96.66 gamma=114.36
Sites, in units of the cell vectors:
In: 0.000 0.000 0.000
Mo: 0.325 0.325 0.649
Re: 0.675 0.675 0.351

Entry 2:
A PBEsol-optimized structure of In2ReMo. Source: the Alexandria database, functional meta-GGA SCAN.

## Properties
D(E_F) in states/eV per cell: 4.32
Final energy in eV/atom: -42.42
Magnetization in μB per formula unit: 0.0
Energy relative to the lowest polymorph listed for this composition in eV per atom: 0.162

Unit cell a=4.588 b=4.588 c=4.588 alpha=60.00 beta=60.00 gamma=60.00
Sites, in units of the cell vectors:
In: 0.750 0.750 0.750
In: 0.250 0.250 0.250
Re: 0.500 0.500 0.500
Mo: 0.000 0.000 0.000

Entry 3:
A PBEsol-optimized structure of In2ReMo. Source: the Alexandria database, functional meta-GGA SCAN.

## Properties
D(E_F) in states/eV per cell: 2.61
Final energy in eV/atom: -42.58
Magnetization in μB per formula unit: 0.0
Energy relative to the lowest polymorph listed for this composition in eV per atom: 0.008

Unit cell a=2.849 b=5.398 c=5.398 alpha=116.45 beta=100.73 gamma=100.73
Sites, in units of the cell vectors:
In: 0.000 0.000 0.500
In: 0.000 0.500 0.000
Re: 0.500 0.000 0.000
Mo: 0.500 0.500 0.500

Entry 4:
A PBEsol-optimized structure of InMoRh2. Source: the Alexandria database, functional meta-GGA SCAN.

## Properties
D(E_F) in states/eV per cell: 3.38
Final energy in eV/atom: -33.92
Magnetization in μB per formula unit: 2.3

Unit cell a=3.706 b=4.077 c=4.081 alpha=90.00 beta=90.00 gamma=90.00
Site moments in Bohr magnetons follow the coordinates.
Sites, in units of the cell vectors:
Rh: 0.000 0.500 0.500  0.25
Rh: 0.000 0.000 0.000  0.26
Mo: 0.500 0.000 0.500  1.71
In: 0.500 0.500 0.000  -0.03

Entry 5:
A PBEsol-optimized structure of InMoRh2. Source: the Alexandria database, functional meta-GGA SCAN.

## Properties
D(E_F) in states/eV per cell: 1.97
Final energy in eV/atom: -34.23
Magnetization in μB per formula unit: 0.0

Unit cell a=2.842 b=2.842 c=7.514 alpha=90.00 beta=90.00 gamma=90.00
Sites, in units of the cell vectors:
In: 0.500 0.500 0.000
Rh: 0.000 0.000 0.737
Rh: 0.000 0.000 0.263
Mo: 0.500 0.500 0.500

Entry 6:
A PBEsol-optimized structure of In2MoRu. Source: the Alexandria database, functional meta-GGA SCAN.

## Properties
D(E_F) in states/eV per cell: 2.40
Final energy in eV/atom: -34.01
Magnetization in μB per formula unit: 0.0
Energy relative to the lowest polymorph listed for this composition in eV per atom: 0.000

Unit cell a=2.976 b=2.976 c=8.236 alpha=90.00 beta=90.00 gamma=90.00
Sites, in units of the cell vectors:
In: 0.000 0.000 0.956
In: 0.500 0.500 0.287
Mo: 0.000 0.000 0.539
Ru: 0.500 0.500 0.718

Entry 7:
A PBEsol-optimized structure of In2MoRu. Source: the Alexandria database, functional meta-GGA SCAN.

## Properties
D(E_F) in states/eV per cell: 4.81
Final energy in eV/atom: -33.63
Magnetization in μB per formula unit: 0.0
Energy relative to the lowest polymorph listed for this composition in eV per atom: 0.380

Unit cell a=4.588 b=4.588 c=4.588 alpha=60.00 beta=60.00 gamma=60.00
Sites, in units of the cell vectors:
In: 0.000 0.000 0.000
In: 0.750 0.750 0.750
Mo: 0.500 0.500 0.500
Ru: 0.250 0.250 0.250

Entry 8:
A PBEsol-optimized structure of In2MoRu. Source: the Alexandria database, functional meta-GGA SCAN.

## Properties
D(E_F) in states/eV per cell: 2.97
Final energy in eV/atom: -33.74
Magnetization in μB per formula unit: 0.0
Energy relative to the lowest polymorph listed for this composition in eV per atom: 0.274

Unit cell a=2.986 b=2.986 c=9.076 alpha=80.53 beta=80.53 gamma=60.00
Sites, in units of the cell vectors:
In: 0.747 0.747 0.760
In: 0.253 0.253 0.240
Mo: 0.500 0.500 0.500
Ru: 0.000 0.000 0.000

Entry 9:
A PBEsol-optimized structure of InMo6S8. Source: the Alexandria database, functional meta-GGA SCAN.

## Properties
D(E_F) in states/eV per cell: 8.88
Final energy in eV/atom: -22.04
E_form (uncorrected) in eV per atom: -0.720
Magnetization in μB per formula unit: 0.0

Unit cell a=6.443 b=6.443 c=6.443 alpha=90.95 beta=90.95 gamma=90.95
Sites, in units of the cell vectors:
Mo: 0.584 0.442 0.780
Mo: 0.442 0.780 0.584
Mo: 0.558 0.220 0.416
Mo: 0.220 0.416 0.558
Mo: 0.416 0.558 0.220
Mo: 0.780 0.584 0.442
S: 0.372 0.129 0.738
S: 0.871 0.262 0.628
S: 0.738 0.372 0.129
S: 0.235 0.235 0.235
S: 0.262 0.628 0.871
S: 0.765 0.765 0.765
S: 0.628 0.871 0.262
S: 0.129 0.738 0.372
In: 0.000 0.000 0.000

Entry 10:
A PBEsol-optimized structure of InSbMo2. Source: the Alexandria database, functional meta-GGA SCAN.

## Properties
D(E_F) in states/eV per cell: 2.53
Final energy in eV/atom: -34.60
E_form (uncorrected) in eV per atom: 0.507
Magnetization in μB per formula unit: 0.0
Energy relative to the lowest polymorph listed for this composition in eV per atom: 0.365

Unit cell a=3.110 b=4.701 c=5.352 alpha=100.80 beta=90.00 gamma=109.31
Sites, in units of the cell vectors:
Sb: 0.000 0.000 0.500
Mo: 0.746 0.493 0.744
Mo: 0.254 0.507 0.256
In: 0.500 0.000 0.000

Entry 11:
A PBEsol-optimized structure of InSb2Mo. Source: the Alexandria database, functional meta-GGA SCAN.

## Properties
D(E_F) in states/eV per cell: 3.03
Final energy in eV/atom: -35.14
E_form (uncorrected) in eV per atom: 0.555
Magnetization in μB per formula unit: 0.0

Unit cell a=3.559 b=4.953 c=4.953 alpha=104.87 beta=90.04 gamma=90.04
Sites, in units of the cell vectors:
Mo: 0.500 0.500 0.500
In: 0.500 0.000 0.000
Sb: 0.000 0.500 0.000
Sb: 0.000 0.000 0.500

Entry 12:
A PBEsol-optimized structure of InSbMo2. Source: the Alexandria database, functional meta-GGA SCAN.

## Properties
D(E_F) in states/eV per cell: 3.20
Final energy in eV/atom: -34.51
E_form (uncorrected) in eV per atom: 0.597
Magnetization in μB per formula unit: 0.0
Energy relative to the lowest polymorph listed for this composition in eV per atom: 0.454

Unit cell a=2.994 b=2.994 c=8.796 alpha=90.00 beta=90.00 gamma=112.08
Sites, in units of the cell vectors:
In: 0.500 0.500 0.000
Mo: 0.000 0.000 0.259
Mo: 0.000 0.000 0.741
Sb: 0.500 0.500 0.500

Entry 13:
A PBEsol-optimized structure of InSbMo2. Source: the Alexandria database, functional meta-GGA SCAN.

## Properties
D(E_F) in states/eV per cell: 0.67
Final energy in eV/atom: -34.96
E_form (uncorrected) in eV per atom: 0.142
Magnetization in μB per formula unit: 0.0
Energy relative to the lowest polymorph listed for this composition in eV per atom: 0.000

Unit cell a=3.183 b=3.183 c=7.936 alpha=90.00 beta=90.00 gamma=90.00
Sites, in units of the cell vectors:
Mo: 0.500 0.500 0.211
Mo: 0.000 0.000 0.040
Sb: 0.000 0.000 0.439
In: 0.500 0.500 0.810

Entry 14:
A PBEsol-optimized structure of InSbMo2. Source: the Alexandria database, functional meta-GGA SCAN.

## Properties
D(E_F) in states/eV per cell: 1.97
Final energy in eV/atom: -34.70
E_form (uncorrected) in eV per atom: 0.407
Magnetization in μB per formula unit: 0.0
Energy relative to the lowest polymorph listed for this composition in eV per atom: 0.265

Unit cell a=3.445 b=4.578 c=5.386 alpha=115.15 beta=108.65 gamma=90.00
Sites, in units of the cell vectors:
Sb: 0.484 0.484 0.968
Mo: 0.741 0.241 0.481
Mo: 0.018 0.018 0.035
In: 0.258 0.758 0.515

Entry 15:
A PBEsol-optimized structure of InSbMo. Source: the Alexandria database, functional meta-GGA SCAN.

## Properties
D(E_F) in states/eV per cell: 0.70
Final energy in eV/atom: -34.28
E_form (uncorrected) in eV per atom: 0.893
Magnetization in μB per formula unit: 0.0

Unit cell a=4.604 b=4.604 c=4.604 alpha=60.00 beta=60.00 gamma=60.00
Sites, in units of the cell vectors:
In: 0.000 0.000 0.000
Sb: 0.250 0.250 0.250
Mo: 0.500 0.500 0.500

Entry 16:
A PBEsol-optimized structure of InSbMo2. Source: the Alexandria database, functional meta-GGA SCAN.

## Properties
D(E_F) in states/eV per cell: 2.48
Final energy in eV/atom: -34.76
E_form (uncorrected) in eV per atom: 0.345
Magnetization in μB per formula unit: 0.0
Energy relative to the lowest polymorph listed for this composition in eV per atom: 0.203

Unit cell a=3.223 b=4.913 c=5.210 alpha=109.51 beta=108.02 gamma=90.00
Sites, in units of the cell vectors:
Mo: 0.025 0.974 0.050
Mo: 0.725 0.274 0.451
Sb: 0.484 0.451 0.969
In: 0.265 0.801 0.531

Entry 17:
A PBEsol-optimized structure of InMoSe2. Source: the Alexandria database, functional meta-GGA SCAN.

## Properties
D(E_F) in states/eV per cell: 2.64
Final energy in eV/atom: -26.97
E_form (uncorrected) in eV per atom: 0.141
Magnetization in μB per formula unit: 0.0

Unit cell a=3.321 b=3.300 c=7.729 alpha=90.00 beta=90.00 gamma=90.00
Sites, in units of the cell vectors:
Se: 0.000 0.500 0.263
Se: 0.000 0.500 0.737
Mo: 0.500 0.500 0.500
In: 0.500 0.000 0.000

Entry 18:
A PBEsol-optimized structure of InMo2Se. Source: the Alexandria database, functional meta-GGA SCAN.

## Properties
D(E_F) in states/eV per cell: 3.31
Final energy in eV/atom: -30.14
E_form (uncorrected) in eV per atom: 0.672
Magnetization in μB per formula unit: 0.0
Energy relative to the lowest polymorph listed for this composition in eV per atom: 0.351

Unit cell a=3.032 b=5.147 c=5.147 alpha=114.21 beta=101.28 gamma=101.28
Sites, in units of the cell vectors:
In: 0.500 0.000 0.000
Mo: 0.000 0.500 0.000
Mo: 0.000 0.000 0.500
Se: 0.500 0.500 0.500

Entry 19:
A PBEsol-optimized structure of InMo2Se. Source: the Alexandria database, functional meta-GGA SCAN.

## Properties
D(E_F) in states/eV per cell: 2.47
Final energy in eV/atom: -30.02
E_form (uncorrected) in eV per atom: 0.786
Magnetization in μB per formula unit: 0.0
Energy relative to the lowest polymorph listed for this composition in eV per atom: 0.465

Unit cell a=3.932 b=3.932 c=4.472 alpha=90.00 beta=90.00 gamma=90.00
Sites, in units of the cell vectors:
Mo: 0.500 0.000 0.000
Mo: 0.000 0.500 0.000
In: 0.000 0.000 0.500
Se: 0.500 0.500 0.500

Entry 20:
A PBEsol-optimized structure of InMo2Se. Source: the Alexandria database, functional meta-GGA SCAN.

## Properties
D(E_F) in states/eV per cell: 5.43
Final energy in eV/atom: -30.20
E_form (uncorrected) in eV per atom: 0.614
Magnetization in μB per formula unit: 0.0
Energy relative to the lowest polymorph listed for this composition in eV per atom: 0.293

Unit cell a=4.520 b=4.520 c=4.520 alpha=60.00 beta=60.00 gamma=60.00
Sites, in units of the cell vectors:
Mo: 0.250 0.250 0.250
Mo: 0.750 0.750 0.750
Se: 0.500 0.500 0.500
In: 0.000 0.000 0.000

Entry 21:
A PBEsol-optimized structure of InMo2Se. Source: the Alexandria database, functional meta-GGA SCAN.

## Properties
D(E_F) in states/eV per cell: 2.69
Final energy in eV/atom: -30.49
E_form (uncorrected) in eV per atom: 0.321
Magnetization in μB per formula unit: 0.0
Energy relative to the lowest polymorph listed for this composition in eV per atom: 0.000

Unit cell a=2.864 b=2.864 c=9.642 alpha=90.00 beta=90.00 gamma=111.31
Sites, in units of the cell vectors:
Mo: 0.500 0.500 0.761
Mo: 0.000 0.000 0.969
Se: 0.000 0.000 0.546
In: 0.500 0.500 0.224

Entry 22:
A PBEsol-optimized structure of In2MoSe. Source: the Alexandria database, functional meta-GGA SCAN.

## Properties
D(E_F) in states/eV per cell: 2.43
Final energy in eV/atom: -30.00
E_form (uncorrected) in eV per atom: 0.430
Magnetization in μB per formula unit: 1.4

Unit cell a=3.489 b=4.692 c=5.513 alpha=115.18 beta=108.44 gamma=90.00
Site moments in Bohr magnetons follow the coordinates.
Sites, in units of the cell vectors:
Mo: 0.500 0.000 0.000  1.46
Se: 0.000 0.500 0.000  -0.05
In: 0.248 0.248 0.496  -0.06
In: 0.752 0.752 0.504  -0.06

Entry 23:
A PBEsol-optimized structure of InMoSe2. Source: the Alexandria database, functional meta-GGA SCAN.

## Properties
D(E_F) in states/eV per cell: 3.22
Final energy in eV/atom: -26.87
E_form (uncorrected) in eV per atom: 0.236
Magnetization in μB per formula unit: 0.0

Unit cell a=3.050 b=3.050 c=9.677 alpha=90.00 beta=90.00 gamma=116.16
Sites, in units of the cell vectors:
Se: 0.000 0.000 0.202
Se: 0.000 0.000 0.798
Mo: 0.500 0.500 0.000
In: 0.500 0.500 0.500

Entry 24:
A PBEsol-optimized structure of In2MoSe. Source: the Alexandria database, functional meta-GGA SCAN.

## Properties
D(E_F) in states/eV per cell: 1.92
Final energy in eV/atom: -29.87
E_form (uncorrected) in eV per atom: 0.563
Magnetization in μB per formula unit: 2.7

Unit cell a=4.831 b=4.831 c=4.831 alpha=60.00 beta=60.00 gamma=60.00
Site moments in Bohr magnetons follow the coordinates.
Sites, in units of the cell vectors:
Se: 0.750 0.750 0.750  -0.08
In: 0.250 0.250 0.250  -0.03
In: 0.000 0.000 0.000  -0.06
Mo: 0.500 0.500 0.500  2.58

Entry 25:
A PBEsol-optimized structure of In2MoSe. Source: the Alexandria database, functional meta-GGA SCAN.

## Properties
D(E_F) in states/eV per cell: 1.36
Final energy in eV/atom: -30.39
E_form (uncorrected) in eV per atom: 0.045
Magnetization in μB per formula unit: 0.0

Unit cell a=3.093 b=5.043 c=5.605 alpha=105.92 beta=106.02 gamma=90.00
Sites, in units of the cell vectors:
Se: 0.197 0.742 0.394
In: 0.991 0.967 0.982
In: 0.784 0.325 0.569
Mo: 0.528 0.466 0.055

Entry 26:
A PBEsol-optimized structure of InMo2Se. Source: the Alexandria database, functional meta-GGA SCAN.

## Properties
D(E_F) in states/eV per cell: 4.15
Final energy in eV/atom: -30.19
E_form (uncorrected) in eV per atom: 0.620
Magnetization in μB per formula unit: 0.0
Energy relative to the lowest polymorph listed for this composition in eV per atom: 0.300

Unit cell a=4.154 b=4.154 c=4.921 alpha=114.96 beta=114.96 gamma=90.00
Sites, in units of the cell vectors:
In: 0.250 0.750 0.500
Mo: 0.000 0.000 0.000
Mo: 0.750 0.250 0.500
Se: 0.500 0.500 0.000